No. 1
! Ca3PmNd3S8 | Alexandria via LeMat-Bulk | PBE | relaxed; values from VASP
! * DFT total energy: -5.933 eV per atom
! * energy relative to the elements, uncorrected: -2061 meV/atom
! * Fermi-level density of states: 4.6 states/eV/f.u.
&SYSTEM
  ibrav = 0, nat = 15, ntyp = 4
/
ATOMIC_SPECIES
Pm 145.00 Pm.upf
S 32.06 S.upf
Ca 40.08 Ca.upf
Nd 144.24 Nd.upf
ATOMIC_POSITIONS crystal
Pm 0.000 0.000 0.500
S 0.752 0.503 0.755
S 0.248 0.497 0.245
Ca 0.500 0.500 0.000
Ca 0.000 0.000 0.000
S 0.246 0.999 0.253
Nd 0.500 0.500 0.500
S 0.754 0.508 0.253
S 0.246 0.001 0.747
S 0.246 0.492 0.747
Nd 0.000 0.500 0.500
S 0.754 0.999 0.253
S 0.754 0.001 0.747
Nd 0.500 0.000 0.500
Ca 0.000 0.500 0.000
CELL_PARAMETERS angstrom
8.105 0.000 0.000
-4.053 7.019 -0.024
0.000 -4.657 6.645



No. 2
! AcTmCd | Alexandria via LeMat-Bulk | PBE | relaxed; values from VASP
! * calculated formation energy: 37 kJ/mol of formula units
! * DFT total energy: -3.038 eV per atom
! * Fermi-level density of states: 3.6 states/eV/f.u.
! * energy relative to the lowest polymorph listed for this composition: 285 meV/atom
&SYSTEM
  ibrav = 0, nat = 6, ntyp = 3
/
ATOMIC_SPECIES
Cd 112.41 Cd.upf
Ac 227.00 Ac.upf
Tm 168.93 Tm.upf
ATOMIC_POSITIONS crystal
Cd 0.500 0.500 0.933
Ac 0.500 0.500 0.566
Tm 0.500 0.000 0.791
Cd 0.000 0.000 0.067
Ac 0.000 0.000 0.434
Tm 0.000 0.500 0.209
CELL_PARAMETERS angstrom
3.626 0.000 0.000
0.000 5.976 0.000
0.000 0.000 9.452



No. 3
! Ba2SnAs | Alexandria via LeMat-Bulk | PBE | relaxed; values from VASP
! * calculated formation energy: -186 kJ/mol of formula units
! * DFT total energy: -3.607 eV per atom
! * Fermi-level density of states: 2.7 states/eV/f.u.
! * energy relative to the lowest polymorph listed for this composition: 225 meV/atom
&SYSTEM
  ibrav = 0, nat = 8, ntyp = 3
/
ATOMIC_SPECIES
As 74.92 As.upf
Ba 137.33 Ba.upf
Sn 118.71 Sn.upf
ATOMIC_POSITIONS crystal
As 0.500 0.500 0.000
As 0.250 0.750 0.500
Ba 0.588 0.125 0.250
Sn 0.750 0.250 0.500
Ba 0.162 0.625 0.250
Ba 0.375 0.412 0.750
Sn 0.000 0.000 0.000
Ba 0.875 0.838 0.750
CELL_PARAMETERS angstrom
-1.111 -8.274 -3.944
6.815 1.911 -5.929
5.240 -4.593 -2.647



No. 4
! GeBiSeBr2 | Alexandria via LeMat-Bulk | PBE | relaxed; values from VASP
! * DFT total energy: -2.839 eV per atom
! * energy relative to the elements, uncorrected: 226 meV/atom
! * Fermi-level density of states: 3.5 states/eV/f.u.
! * energy relative to the lowest polymorph listed for this composition: 181 meV/atom
&SYSTEM
  ibrav = 0, nat = 5, ntyp = 4
/
ATOMIC_SPECIES
Ge 72.64 Ge.upf
Br 79.90 Br.upf
Bi 208.98 Bi.upf
Se 78.96 Se.upf
ATOMIC_POSITIONS crystal
Ge 0.500 0.500 0.500
Br 0.000 0.500 0.000
Br 0.500 0.000 0.000
Bi 0.000 0.000 0.000
Se 0.000 0.000 0.500
CELL_PARAMETERS angstrom
-2.753 2.435 4.289
-3.987 -3.990 -0.293
2.922 -3.191 3.687



Q: The highest DFT total energy belongs to which entry?
A: GeBiSeBr2



Q: DFT total energy of number 2 (AcTmCd)?
A: -3.038 eV per atom



Q: Which of these has the highest Fermi-level density of states?
A: Ca3PmNd3S8



Please write out number 4 again, unchanged.
! GeBiSeBr2 | Alexandria via LeMat-Bulk | PBE | relaxed; values from VASP
! * DFT total energy: -2.839 eV per atom
! * energy relative to the elements, uncorrected: 226 meV/atom
! * Fermi-level density of states: 3.5 states/eV/f.u.
! * energy relative to the lowest polymorph listed for this composition: 181 meV/atom
&SYSTEM
  ibrav = 0, nat = 5, ntyp = 4
/
ATOMIC_SPECIES
Ge 72.64 Ge.upf
Br 79.90 Br.upf
Bi 208.98 Bi.upf
Se 78.96 Se.upf
ATOMIC_POSITIONS crystal
Ge 0.500 0.500 0.500
Br 0.000 0.500 0.000
Br 0.500 0.000 0.000
Bi 0.000 0.000 0.000
Se 0.000 0.000 0.500
CELL_PARAMETERS angstrom
-2.753 2.435 4.289
-3.987 -3.990 -0.293
2.922 -3.191 3.687